DFT (PBE) results for a relaxed structure of Rb3ErAl2O6.

Summary:
Raw total energy   -6.105 eV per atom
Formation energy without anion corrections   -2.380 eV per atom
DOS(E_F)   0.0 states/eV/f.u.

```
Rb3ErAl2O6
1.0
6.079 0.000 0.000
-3.040 5.265 0.000
0.000 0.000 7.342
Rb Al O Er
3 2 6 1
direct
0.000 0.000 0.000
0.667 0.333 0.247
0.333 0.667 0.753
0.333 0.667 0.310
0.667 0.333 0.690
0.342 0.171 0.691
0.829 0.171 0.691
0.171 0.342 0.309
0.171 0.829 0.309
0.829 0.658 0.691
0.658 0.829 0.309
0.000 0.000 0.500
```

***

DFT (PBE) results for a relaxed structure of Hf2Cr3Si.

Summary:
Raw total energy   -9.370 eV per atom
Formation energy without anion corrections   -0.337 eV per atom
DOS(E_F)   6.0 states/eV/f.u.

```
Hf2Cr3Si
1.0
1.331 0.809 -4.704
-3.098 -3.709 1.094
-3.103 3.271 2.294
Hf Si Cr
2 1 3
direct
0.244 0.622 0.867
0.756 0.378 0.133
0.000 0.000 0.000
0.500 0.000 0.500
0.000 0.000 0.500
0.500 0.500 0.500
```

***

DFT (PBE) results for a relaxed structure of PmYHo6Tm2.

Summary:
Raw total energy   -4.640 eV per atom
Formation enthalpy at 0 K   0.1222 eV per atom
DOS(E_F)   14.8 states/eV/f.u.

```
PmYHo6Tm2
1.0
9.071 -2.027 -2.104
0.811 8.460 -1.992
0.811 -2.305 8.380
Ho Y Tm Pm
12 2 4 2
direct
0.056 0.122 0.751
0.317 0.975 0.429
0.444 0.249 0.878
0.944 0.878 0.249
0.556 0.751 0.122
0.683 0.025 0.571
0.380 0.503 0.291
0.120 0.709 0.497
0.817 0.429 0.975
0.880 0.291 0.503
0.183 0.571 0.025
0.620 0.497 0.709
0.250 0.976 0.024
0.750 0.024 0.976
0.544 0.193 0.301
0.456 0.807 0.699
0.044 0.301 0.193
0.956 0.699 0.807
0.250 0.407 0.593
0.750 0.593 0.407
```

***

DFT (PBE) results for a relaxed structure of CeVAs2Ru.

Summary:
Raw total energy   -7.425 eV per atom
Formation enthalpy at 0 K   -0.7000 eV per atom
DOS(E_F)   4.2 states/eV/f.u.

```
CeVAs2Ru
1.0
4.211 0.000 0.000
0.000 4.211 0.000
-2.106 -2.106 5.215
V As Ce Ru
1 2 1 1
direct
0.750 0.250 0.500
0.627 0.627 0.255
0.373 0.373 0.745
0.000 0.000 0.000
0.250 0.750 0.500
```

***

DFT (PBE) results for a relaxed structure of Y2Sn2Pd7.

Summary:
Raw total energy   -5.832 eV per atom
Formation enthalpy at 0 K   -0.6245 eV per atom
DOS(E_F)   4.1 states/eV/f.u.

```
Y2Sn2Pd7
1.0
-5.107 -4.425 0.953
3.232 -2.275 2.594
-0.577 3.837 5.615
Sn Pd Y
2 7 2
direct
0.731 0.266 0.269
0.269 0.734 0.731
0.445 0.224 0.555
0.611 0.770 0.048
0.952 0.770 0.389
0.389 0.230 0.952
0.555 0.776 0.445
0.048 0.230 0.611
0.000 0.000 0.000
0.785 0.500 0.785
0.215 0.500 0.215
```

***

DFT (PBE) results for a relaxed structure of Ac2Zn3Sn4Ir.

Summary:
Raw total energy   -4.114 eV per atom
Formation enthalpy at 0 K   -0.4234 eV per atom
DOS(E_F)   4.6 states/eV/f.u.

```
Ac2Zn3Sn4Ir
1.0
-1.566 1.215 4.298
-2.785 -3.826 0.067
8.084 -5.805 4.588
Ac Sn Ir Zn
2 4 1 3
direct
0.500 0.000 0.270
0.000 0.500 0.730
0.500 0.500 0.000
0.000 0.500 0.380
0.500 0.000 0.620
0.000 0.000 0.000
0.500 0.500 0.500
0.000 0.500 0.139
0.500 0.000 0.861
0.000 0.000 0.500
```

***

DFT (PBE) results for a relaxed structure of P2AuS2.

Summary:
Raw total energy   -4.380 eV per atom
Formation energy without anion corrections   0.091 eV per atom
Energy above the lowest structure with this stoichiometry   0.111 eV per atom
DOS(E_F)   4.3 states/eV/f.u.

```
P2AuS2
1.0
-2.029 2.003 -1.879
2.045 -2.492 -4.866
-3.813 -3.441 3.540
P S Au
2 2 1
direct
0.174 0.306 0.674
0.693 0.078 0.713
0.998 0.295 0.321
0.320 0.670 0.967
0.528 0.653 0.380
```

***

Q: Which of these has the highest raw total energy?
A: Ac2Zn3Sn4Ir